VASP calculation (PBE+U) on a relaxed structure of MnHgGe2O6.

The space group is C2/c (No. 15) and the conventional cell measures 10.285, 10.158 and 5.370 Å, with angles of 90.00, 102.48 and 90.00 degrees. The inequivalent atoms are Mn at (0.000, 0.221, 0.250), Hg at (0.000, 0.400, 0.750), Ge at (0.202, 0.087, 0.778), O at (0.116, 0.217, 0.611), O at (0.122, 0.394, 0.161) and O at (0.154, 0.060, 0.082).

Its total energy is -6.03 eV/atom.